No. 1
This record from the Alexandria database describes a relaxed structure of YFe3Se. The functional is GGA-PBE.

Computed properties:
energy relative to the lowest polymorph listed for this composition: 1.526 eV per atom
D(E_F): 5.70 states/eV/cell
symmetry: Pm-3m (221)

Cell: 4.782 4.782 4.782 Å, 90.00 90.00 90.00°
Sites, in units of the cell vectors:
Y  0.000  0.000  0.000
Fe  0.000  0.500  0.000
Fe  0.000  0.000  0.500
Fe  0.500  0.000  0.000
Se  0.500  0.500  0.500

No. 2
This record from the Alexandria database describes a relaxed structure of TmSc3Ru. The functional is GGA-PBE.

Computed properties:
ΔH_f (0 K): -0.204 eV/atom
energy relative to the lowest polymorph listed for this composition: 0.000 eV per atom
D(E_F): 13.21 states/eV/cell
symmetry: C2/m (12)

Cell: 6.831 6.831 6.855 Å, 105.72 114.21 108.45°
Sites, in units of the cell vectors:
Tm  0.723  0.053  0.776
Tm  0.277  0.947  0.224
Sc  0.852  0.074  0.315
Sc  0.240  0.463  0.315
Sc  0.760  0.537  0.685
Sc  0.701  0.442  0.143
Sc  0.148  0.926  0.685
Sc  0.299  0.558  0.857
Ru  0.626  0.744  0.371
Ru  0.374  0.256  0.629

No. 3
This record from the Alexandria database describes a relaxed structure of CaTa2Pb. The functional is GGA-PBE.

Computed properties:
ΔH_f (0 K): 0.410 eV/atom
D(E_F): 6.08 states/eV/cell
symmetry: R3m (160)

Cell: 10.060 10.060 10.060 Å, 19.26 19.26 19.26°
Sites, in units of the cell vectors:
Pb  0.742  0.742  0.742
Ca  0.503  0.503  0.503
Ta  0.993  0.993  0.993
Ta  0.262  0.262  0.262

No. 4
This record from the Alexandria database describes a relaxed structure of Pm2PuP. The functional is GGA-PBE.

Computed properties:
ΔH_f (0 K): -0.533 eV/atom
energy relative to the lowest polymorph listed for this composition: 0.000 eV per atom
D(E_F): 10.91 states/eV/cell
symmetry: R-3m (166)

Cell: 3.881 3.881 9.533 Å, 78.26 78.26 60.00°
Sites, in units of the cell vectors:
P  0.000  0.000  0.000
Pm  0.272  0.272  0.184
Pm  0.728  0.728  0.816
Pu  0.500  0.500  0.500

No. 5
This record from the Alexandria database describes a relaxed structure of TaTiNbAu. The functional is GGA-PBE.

Computed properties:
ΔH_f (0 K): -0.067 eV/atom
energy relative to the lowest polymorph listed for this composition: 0.000 eV per atom
D(E_F): 4.72 states/eV/cell
symmetry: F-43m (216)

Cell: 4.626 4.626 4.626 Å, 60.00 60.00 60.00°
Sites, in units of the cell vectors:
Nb  0.000  0.000  0.000
Ti  0.250  0.250  0.250
Au  0.500  0.500  0.500
Ta  0.750  0.750  0.750

No. 6
This record from the Alexandria database describes a relaxed structure of LiBeF2. The functional is GGA-PBE.

Computed properties:
energy relative to the lowest polymorph listed for this composition: 0.181 eV per atom
D(E_F): 0.55 states/eV/cell
symmetry: R-3m (166)

Cell: 8.243 8.243 8.243 Å, 18.73 18.73 18.73°
Sites, in units of the cell vectors:
Be  0.500  0.500  0.500
Li  0.000  0.000  0.000
F  0.870  0.870  0.870
F  0.130  0.130  0.130

Q: D(E_F) of number 1 (YFe3Se)?
A: 5.70 states/eV/cell